(1)
Material: PdPtPb2
Method: DFT, GGA-PBE
State: relaxed

The value obtained for the total magnetic moment is 0.000 μB/f.u. The volume comes out at 24.1 A^3/atom. The value obtained for the energy relative to the lowest polymorph listed for this composition is 0.282 eV/atom. For the formation energy, the calculation gives 0.133 eV per atom. Its density of states at the Fermi level is 0.534 states/eV per atom. The value obtained for the total energy is -18.12 eV per cell.

a b c (Å): 9.6270 9.6270 9.6270
angles (deg): 20.59 20.59 20.59
Last column: nearest neighbours and their distance in Å.
Element x y z (fractional)
Pd 0.0000 0.0000 0.0000  2 Pb 2.67
Pt 0.5000 0.5000 0.5000  6 Pb 2.85
Pb 0.0945 0.0945 0.0945  1 Pd 2.67, 3 Pt 2.85
Pb 0.9055 0.9055 0.9055  1 Pd 2.67, 3 Pt 2.85

(2)
Material: KMgGaCu2
Method: DFT, GGA-PBE
State: relaxed

The value obtained for the total magnetic moment is 0.000 μB/f.u. The volume comes out at 26.0 A^3/atom. For the formation energy, the calculation gives 0.543 eV per atom. Its density of states at the Fermi level is 0.369 states/eV per atom. The value obtained for the total energy is -11.20 eV per cell.

a b c (Å): 4.7648 4.7648 5.7171
angles (deg): 90.00 90.00 90.00
Last column: nearest neighbours and their distance in Å.
Element x y z (fractional)
K 0.0000 0.0000 0.0000  2 Ga 2.86
Mg 0.5000 0.5000 0.0000  4 K 3.37, 8 Cu 3.72
Ga 0.0000 0.0000 0.5000  4 Cu 2.38
Cu 0.0000 0.5000 0.5000  2 Ga 2.38
Cu 0.5000 0.0000 0.5000  2 Ga 2.38

(3)
Material: InCuTe2
Method: DFT, GGA-PBE
State: relaxed

The value obtained for the total magnetic moment is 0.000 μB/f.u. The volume comes out at 31.2 A^3/atom. The formation energy without anion corrections comes out at -0.2312 eV per atom. Its density of states at the Fermi level is 0.161 states/eV per atom. The value obtained for the total energy is -14.04 eV per cell.

a b c (Å): 7.7528 7.7528 7.7528
angles (deg): 33.24 33.24 33.24
Last column: nearest neighbours and their distance in Å.
Element x y z (fractional)
In 0.0000 0.0000 0.0000  4 Te 2.78-2.90
Cu 0.5184 0.5184 0.5184  4 Te 2.60-2.69
Te 0.3958 0.3958 0.3958  1 Cu 2.69, 3 In 2.90
Te 0.8733 0.8733 0.8733  3 Cu 2.60, 1 In 2.78

(4)
Material: CeZrAu
Method: DFT, GGA-PBE
State: relaxed

The value obtained for the total magnetic moment is 0.553 μB/f.u. The volume comes out at 23.9 A^3/atom. The value obtained for the energy relative to the lowest polymorph listed for this composition is 0.181 eV/atom. For the formation energy, the calculation gives -0.149 eV per atom. Its density of states at the Fermi level is 1.743 states/eV per atom. The value obtained for the total energy is -36.41 eV per cell.

a b c (Å): 7.1131 6.5469 5.0809
angles (deg): 74.23 62.34 43.43
Last column: nearest neighbours and their distance in Å.
Element x y z (fractional)
Ce 0.1642 0.8358 0.1642  1 Ce 2.69
Ce 0.8358 0.1642 0.8358  1 Ce 2.69
Zr 0.2500 0.2500 0.2500  4 Au 2.93, 2 Zr 3.01
Zr 0.7500 0.7500 0.7500  4 Au 2.93, 2 Zr 3.01
Au 0.3758 0.3758 0.6242  1 Au 2.89, 4 Zr 2.93, 2 Ce 3.11
Au 0.6242 0.6242 0.3758  1 Au 2.89, 4 Zr 2.93, 2 Ce 3.11

(5)
Material: Tm3As2Pb
Method: DFT, GGA-PBE
State: relaxed

The value obtained for the total magnetic moment is 0.000 μB/f.u. The volume comes out at 25.5 A^3/atom. For the formation energy, the calculation gives -0.805 eV per atom. Its density of states at the Fermi level is 0.612 states/eV per atom. The value obtained for the total energy is -62.51 eV per cell.

a b c (Å): 6.6009 6.6009 9.8322
angles (deg): 90.00 90.00 134.44
Last column: nearest neighbours and their distance in Å.
Element x y z (fractional)
Tm 0.1040 0.8960 0.7500  4 As 2.70-2.76
Tm 0.3696 0.6304 0.5456  4 As 2.82-3.14
Tm 0.3696 0.6304 0.9544  4 As 2.82-3.14
Tm 0.6304 0.3696 0.0456  4 As 2.82-3.14
Tm 0.6304 0.3696 0.4544  4 As 2.82-3.14
Tm 0.8960 0.1040 0.2500  4 As 2.70-2.76
As 0.0000 0.0000 0.0000  6 Tm 2.76-3.04
As 0.0000 0.0000 0.5000  6 Tm 2.76-3.04
As 0.4683 0.5317 0.2500  4 Tm 2.70-2.82
As 0.5317 0.4683 0.7500  4 Tm 2.70-2.82
Pb 0.2170 0.7830 0.2500  1 As 3.06, 6 Tm 3.36-3.42
Pb 0.7830 0.2170 0.7500  1 As 3.06, 6 Tm 3.36-3.42

(6)
Material: Ru3PbI
Method: DFT, GGA-PBE
State: relaxed

The value obtained for the total magnetic moment is 3.765 μB/f.u. The volume comes out at 23.5 A^3/atom. The value obtained for the energy relative to the lowest polymorph listed for this composition is 0.000 eV/atom. The formation energy without anion corrections comes out at 1.5617 eV per atom. Its density of states at the Fermi level is 1.599 states/eV per atom. The value obtained for the total energy is -25.28 eV per cell.

a b c (Å): 4.8972 4.8972 4.8972
angles (deg): 90.00 90.00 90.00
Last column: nearest neighbours and their distance in Å.
Element x y z (fractional)
Ru 0.0000 0.0000 0.5000  2 I 2.45
Ru 0.0000 0.5000 0.0000  2 I 2.45
Ru 0.5000 0.0000 0.0000  2 I 2.45
Pb 0.5000 0.5000 0.5000  12 Ru 3.46
I 0.0000 0.0000 0.0000  6 Ru 2.45